Entry 1:
# GGA-PBE K3CrSe3, relaxed
data_K3CrSe3
_cell_length_a 19.8576
_cell_length_b 6.9722
_cell_length_c 13.1590
_cell_angle_alpha 90.00
_cell_angle_beta 90.00
_cell_angle_gamma 90.00
_symmetry_space_group_name_H-M 'C m c e'
_symmetry_Int_Tables_number 64
_symmetry_space_group_name_Hall '-C 2ac 2'
loop_
_atom_site_label
_atom_site_fract_x
_atom_site_fract_y
_atom_site_fract_z
K1 0.0000 0.1531 0.1661
K2 0.1793 0.1650 0.8710
Cr1 0.0798 0.0000 0.5000
Se1 0.0000 0.2102 0.4141
Se2 0.1524 0.1680 0.6152
# total magnetic moment: 24.0 μB per cell
# formation energy from raw total energies: -90.30 kJ/mol of atoms


Entry 2:
# GGA-PBE KCr2Se, relaxed
data_KCr2Se
_cell_length_a 3.3673
_cell_length_b 3.3673
_cell_length_c 7.6733
_cell_angle_alpha 90.00
_cell_angle_beta 90.00
_cell_angle_gamma 90.00
_symmetry_space_group_name_H-M 'P 4 m m'
_symmetry_Int_Tables_number 99
_symmetry_space_group_name_Hall 'P 4 -2'
loop_
_atom_site_label
_atom_site_fract_x
_atom_site_fract_y
_atom_site_fract_z
K1 0.0000 0.0000 0.0000
Cr1 0.0000 0.0000 0.4859
Cr2 0.5000 0.5000 0.6401
Se1 0.5000 0.5000 0.3080
# total magnetic moment: 0.8 μB per cell
# formation energy from raw total energies: 16.63 kJ/mol of atoms


Q: Which formula does entry 2 have?
A: KCr2Se


Q: Look up the total magnetic moment of the second one.
A: 0.8 μB per cell


Q: Number 2 is which compound?
A: KCr2Se